(1)
A plane-wave DFT calculation with GGA-PBE was carried out for an optimized crystal structure of NdSmAgBi.

abc: 7.667 7.667 7.667
angles: 90.00 90.00 90.00
Space group F-43m (No. 216)
Asymmetric unit:
Nd: 0.000 0.000 0.000 x4
Sm: 0.000 0.000 0.500 x4
Ag: 0.250 0.250 0.750 x4
Bi: 0.250 0.250 0.250 x4

Electronic total energy ... -4.537 eV per atom
D(E_F) ... 14.6 states/eV/cell
Total moment ... 0.0 μB per formula unit



(2)
A plane-wave DFT calculation with GGA-PBE was carried out for an optimized crystal structure of SrNdAgBi.

abc: 7.887 7.887 7.887
angles: 90.00 90.00 90.00
Space group F-43m (No. 216)
Asymmetric unit:
Sr: 0.000 0.000 0.000 x4
Nd: 0.000 0.000 0.500 x4
Ag: 0.250 0.250 0.750 x4
Bi: 0.250 0.250 0.250 x4

Electronic total energy ... -3.775 eV per atom
D(E_F) ... 15.9 states/eV/cell
Total moment ... 0.0 μB per formula unit



no.,V (A^3/atom),DFT formation energy (eV per atom),mass density (g/cm³)
1,28.169,-0.482,9.01
2,30.664,-0.479,7.43